Record 1
5
Lattice="4.494 0.000 0.000 0.000 4.494 0.000 -2.247 -2.247 4.790" Properties=species:S:1:pos:R:3 comment="PBEsol Ta2Ge2F, relaxed" crystal_system=tetragonal space_group=I4/mmm dft_energy_ev_per_cell=-35.78 dos_ef_per_ev_atom=0.70 m_tot_mub_per_fu=0.0 pbc="T T T"
Ge 0.000 0.000 3.597
Ge 2.247 2.247 1.194
F 0.000 0.000 0.000
Ta 0.000 2.247 2.395
Ta 2.247 0.000 2.395

=====

Record 2
4
Lattice="-2.833 0.545 1.772 -0.045 -2.658 -2.489 2.287 -4.863 5.150" Properties=species:S:1:pos:R:3 comment="PBEsol CuPtBr2, relaxed" crystal_system=orthorhombic space_group=Cmmm e_above_lowest_polymorph_ev_per_atom=0.131 dft_energy_ev_per_cell=-13.59 dos_ef_per_ev_atom=0.41 m_tot_mub_per_fu=0.0 pbc="T T T"
Br 1.694 -3.601 3.814
Br 0.593 -1.262 1.336
Cu -0.273 -2.159 3.461
Pt -1.416 0.272 0.886

=====

Record 3
8
Lattice="5.512 0.000 0.000 0.000 5.512 0.000 -2.756 -2.756 5.483" Properties=species:S:1:pos:R:3 comment="PBEsol Hg2PO, relaxed" crystal_system=tetragonal space_group=I-42d dft_energy_ev_per_cell=-23.19 dos_ef_per_ev_atom=0.66 m_tot_mub_per_fu=0.0 pbc="T T T"
P 0.000 2.756 2.742
P 0.000 0.000 0.000
Hg 1.539 4.134 1.371
Hg 3.973 1.378 1.371
Hg -1.378 -1.217 4.113
Hg 1.378 1.217 4.113
O 2.756 0.000 2.742
O 2.756 2.756 0.000

=====

Record 4
4
Lattice="-2.669 -1.898 -1.005 1.506 -3.631 2.858 -2.649 1.785 3.664" Properties=species:S:1:pos:R:3 comment="PBEsol Y2CuMo, relaxed" crystal_system=tetragonal space_group=P4/mmm e_above_lowest_polymorph_ev_per_atom=0.005 ef_ev_per_atom=0.247 dft_energy_ev_per_cell=-28.76 dos_ef_per_ev_atom=1.51 m_tot_mub_per_fu=0.5 pbc="T T T"
Cu -1.906 -1.872 2.759
Mo -1.334 -0.949 -0.502
Y 0.753 -1.816 1.429
Y -1.324 0.893 1.832